[1]
The following is a DFT calculation (GGA-PBE) of a geometry-optimized TeOs4Pb structure.

CIF file:
```
data_TeOs4Pb
_cell_length_a 7.600
_cell_length_b 7.600
_cell_length_c 7.600
_cell_angle_alpha 90.00
_cell_angle_beta 90.00
_cell_angle_gamma 90.00
_space_group_name_H-M_alt 'F -4 3 m'
_space_group_IT_number 216
_space_group_name_Hall 'F -4 2 3'
loop_
_atom_site_label
_atom_site_type_symbol
_atom_site_fract_x
_atom_site_fract_y
_atom_site_fract_z
_atom_site_occupancy
Te1 Te 0.000 0.000 0.000 1
Os1 Os 0.125 0.125 0.625 1
Pb1 Pb 0.250 0.250 0.250 1
```

Summary:
Uncorrected formation energy   1.101 eV per atom
Total DFT energy (no corrections)   -7.53 eV/atom

[2]
The following is a DFT calculation (GGA-PBE) of a geometry-optimized Tm6Tc2Au structure.

CIF file:
```
data_Tm6Tc2Au
_cell_length_a 9.352
_cell_length_b 9.360
_cell_length_c 10.072
_cell_angle_alpha 90.00
_cell_angle_beta 90.00
_cell_angle_gamma 90.00
_space_group_name_H-M_alt 'I m m m'
_space_group_IT_number 71
_space_group_name_Hall '-I 2 2'
loop_
_atom_site_label
_atom_site_type_symbol
_atom_site_fract_x
_atom_site_fract_y
_atom_site_fract_z
_atom_site_occupancy
Tm1 Tm 0.000 0.197 0.247 1
Tm2 Tm 0.189 0.500 0.334 1
Tm3 Tm 0.231 0.318 0.000 1
Tc1 Tc 0.000 0.326 0.500 1
Tc2 Tc 0.000 0.500 0.115 1
Au1 Au 0.000 0.000 0.000 1
Au2 Au 0.000 0.000 0.500 1
```

Summary:
Total DFT energy (no corrections)   -5.93 eV/atom
ΔE_f   -0.28 eV/atom

[3]
The following is a DFT calculation (GGA-PBE) of a geometry-optimized CaCu2Au structure.

CIF file:
```
data_CaCu2Au
_cell_length_a 6.621
_cell_length_b 6.621
_cell_length_c 6.621
_cell_angle_alpha 90.00
_cell_angle_beta 90.00
_cell_angle_gamma 90.00
_space_group_name_H-M_alt 'F -4 3 m'
_space_group_IT_number 216
_space_group_name_Hall 'F -4 2 3'
loop_
_atom_site_label
_atom_site_type_symbol
_atom_site_fract_x
_atom_site_fract_y
_atom_site_fract_z
_atom_site_occupancy
Ca1 Ca 0.000 0.000 0.000 1
Cu1 Cu 0.000 0.000 0.500 1
Cu2 Cu 0.250 0.250 0.250 1
Au1 Au 0.250 0.250 0.750 1
```

Summary:
Total DFT energy (no corrections)   -3.51 eV/atom
Energy relative to the lowest polymorph listed for this composition   0.54 eV per formula unit
ΔE_f   -0.14 eV/atom

[4]
The following is a DFT calculation (GGA-PBE) of a geometry-optimized Rb3Cd11 structure.

CIF file:
```
data_Rb3Cd11
_cell_length_a 5.182
_cell_length_b 10.729
_cell_length_c 15.168
_cell_angle_alpha 90.00
_cell_angle_beta 90.00
_cell_angle_gamma 90.00
_space_group_name_H-M_alt 'I m m m'
_space_group_IT_number 71
_space_group_name_Hall '-I 2 2'
loop_
_atom_site_label
_atom_site_type_symbol
_atom_site_fract_x
_atom_site_fract_y
_atom_site_fract_z
_atom_site_occupancy
Rb1 Rb 0.000 0.000 0.000 1
Rb2 Rb 0.000 0.000 0.298 1
Cd1 Cd 0.000 0.195 0.500 1
Cd2 Cd 0.000 0.289 0.130 1
Cd3 Cd 0.000 0.352 0.331 1
Cd4 Cd 0.000 0.500 0.000 1
```

Summary:
Total DFT energy (no corrections)   -0.97 eV/atom
ΔE_f   -0.05 eV/atom

[5]
The following is a DFT calculation (GGA-PBE) of a geometry-optimized Sc2Hg2Br structure.

CIF file:
```
data_Sc2Hg2Br
_cell_length_a 7.206
_cell_length_b 7.206
_cell_length_c 4.579
_cell_angle_alpha 90.00
_cell_angle_beta 90.00
_cell_angle_gamma 90.00
_space_group_name_H-M_alt 'P 4/m b m'
_space_group_IT_number 127
_space_group_name_Hall '-P 4 2ab'
loop_
_atom_site_label
_atom_site_type_symbol
_atom_site_fract_x
_atom_site_fract_y
_atom_site_fract_z
_atom_site_occupancy
Sc1 Sc 0.159 0.341 0.000 1
Hg1 Hg 0.146 0.646 0.500 1
Br1 Br 0.000 0.000 0.000 1
```

Summary:
Uncorrected formation energy   -0.530 eV per atom
Total DFT energy (no corrections)   -3.52 eV/atom
Energy relative to the lowest polymorph listed for this composition   0.00 eV per formula unit

[6]
The following is a DFT calculation (GGA-PBE) of a geometry-optimized AcDy2Co structure.

CIF file:
```
data_AcDy2Co
_cell_length_a 3.9228
_cell_length_b 3.9228
_cell_length_c 27.5463
_cell_angle_alpha 90.00
_cell_angle_beta 90.00
_cell_angle_gamma 120.00
_space_group_name_H-M_alt 'R 3 m'
_space_group_IT_number 160
_space_group_name_Hall 'R 3 -2"'
loop_
_atom_site_label
_atom_site_type_symbol
_atom_site_fract_x
_atom_site_fract_y
_atom_site_fract_z
_atom_site_occupancy
Ac1 Ac 0.0000 0.0000 0.0000 1
Dy1 Dy 0.0000 0.0000 0.5498 1
Dy2 Dy 0.0000 0.0000 0.7806 1
Co1 Co 0.0000 0.0000 0.1653 1
```

Summary:
Total DFT energy (no corrections)   -5.14 eV/atom
Energy relative to the lowest polymorph listed for this composition   0.14 eV per formula unit
ΔE_f   -0.04 eV/atom

[7]
The following is a DFT calculation (GGA-PBE) of a geometry-optimized Sr4HgRh2 structure.

CIF file:
```
data_Sr4HgRh2
_cell_length_a 12.340
_cell_length_b 9.130
_cell_length_c 8.586
_cell_angle_alpha 90.00
_cell_angle_beta 109.81
_cell_angle_gamma 90.00
_space_group_name_H-M_alt 'C 1 m 1'
_space_group_IT_number 8
_space_group_name_Hall 'C -2y'
loop_
_atom_site_label
_atom_site_type_symbol
_atom_site_fract_x
_atom_site_fract_y
_atom_site_fract_z
_atom_site_occupancy
Sr1 Sr 0.000 0.000 0.000 1
Sr2 Sr 0.005 0.000 0.528 1
Sr3 Sr 0.015 0.500 0.018 1
Sr4 Sr 0.024 0.500 0.523 1
Sr5 Sr 0.277 0.278 0.155 1
Sr6 Sr 0.294 0.268 0.660 1
Hg1 Hg 0.218 0.000 0.369 1
Hg2 Hg 0.226 0.000 0.881 1
Rh1 Rh 0.083 0.248 0.808 1
Rh2 Rh 0.203 0.500 0.863 1
Rh3 Rh 0.233 0.500 0.383 1
```

Summary:
Total DFT energy (no corrections)   -3.39 eV/atom
ΔE_f   -0.28 eV/atom

[8]
The following is a DFT calculation (GGA-PBE) of a geometry-optimized IrRu2 structure.

CIF file:
```
data_IrRu2
_cell_length_a 3.830
_cell_length_b 11.501
_cell_length_c 3.845
_cell_angle_alpha 90.00
_cell_angle_beta 90.00
_cell_angle_gamma 90.00
_space_group_name_H-M_alt 'C m c m'
_space_group_IT_number 63
_space_group_name_Hall '-C 2c 2'
loop_
_atom_site_label
_atom_site_type_symbol
_atom_site_fract_x
_atom_site_fract_y
_atom_site_fract_z
_atom_site_occupancy
Ir1 Ir 0.000 0.084 0.250 1
Ru1 Ru 0.000 0.250 0.750 1
Ru2 Ru 0.000 0.416 0.250 1
```

Summary:
Total DFT energy (no corrections)   -9.13 eV/atom
Energy relative to the lowest polymorph listed for this composition   0.18 eV per formula unit
ΔE_f   0.01 eV/atom